[1]
# ZrCd2

A geometry-optimized ZrCd2 structure (GGA-PBEsol, Alexandria).

Energy of formation = -4.7 kJ/mol of atoms
VASP energy = -3.876 eV/atom
Total magnetic moment = 0.00 μB per formula unit
V = 124.9 Å³/cell

Cell lengths 2.9547, 6.0470, 7.4263 Å; angles 103.55, 90.00, 104.14 degrees
Last column: nearest neighbours and their distance in Å.
Element x y z (fractional)
Cd 0.3329 0.6658 0.6589  7 Cd 2.95-3.15, 5 Zr 3.09-3.14
Cd 0.6631 0.3262 0.3282  9 Cd 2.95-3.14, 3 Zr 3.11-3.13
Cd 0.9969 0.9939 0.9991  8 Cd 2.95-3.15, 4 Zr 3.05-3.16
Zr 0.0629 0.1258 0.6257  4 Zr 2.95-2.99, 8 Cd 3.05-3.20
Zr 0.7208 0.4415 0.9381  4 Zr 2.95-2.99, 8 Cd 3.09-3.20
Cd 0.3900 0.7801 0.2834  8 Cd 2.95-3.14, 4 Zr 3.20

[2]
# Zr2Cd

A geometry-optimized Zr2Cd structure (GGA-PBEsol, Alexandria).

Energy of formation = 0.2 kJ/mol of atoms
VASP energy = -6.457 eV/atom
Total magnetic moment = 0.00 μB per formula unit
V = 128.9 Å³/cell

Cell lengths 3.1839, 5.0531, 8.1696 Å; angles 90.00, 101.24, 90.00 degrees
Last column: nearest neighbours and their distance in Å.
Element x y z (fractional)
Zr 0.8990 0.2500 0.7980  8 Zr 3.04-3.18, 4 Cd 3.14-3.27
Cd 0.2301 0.2500 0.4602  6 Cd 3.05-3.18, 6 Zr 3.09-3.27
Zr 0.5647 0.2500 0.1295  10 Zr 3.04-3.27, 2 Cd 3.09
Zr 0.1010 0.7500 0.2020  8 Zr 3.04-3.18, 4 Cd 3.14-3.27
Zr 0.4353 0.7500 0.8705  10 Zr 3.04-3.27, 2 Cd 3.09
Cd 0.7699 0.7500 0.5398  6 Cd 3.05-3.18, 6 Zr 3.09-3.27

[3]
# Zr5Cd

A geometry-optimized Zr5Cd structure (GGA-PBEsol, Alexandria).

Energy of formation = -4.7 kJ/mol of atoms
VASP energy = -7.823 eV/atom
Total magnetic moment = 0.00 μB per formula unit
V = 129.1 Å³/cell

Cell lengths 4.3571, 4.4143, 7.0648 Å; angles 71.79, 90.00, 90.00 degrees
Last column: nearest neighbours and their distance in Å.
Element x y z (fractional)
Zr 0.5000 0.0000 0.0000  4 Cd 3.10, 8 Zr 3.12-3.13
Cd 0.0000 0.5000 0.0000  12 Zr 3.10-3.14
Zr 0.5000 0.3348 0.3304  10 Zr 3.10-3.17, 2 Cd 3.11
Zr 0.5000 0.6652 0.6696  10 Zr 3.10-3.17, 2 Cd 3.11
Zr 0.0000 0.8338 0.3325  10 Zr 3.10-3.15, 2 Cd 3.14
Zr 0.0000 0.1662 0.6675  10 Zr 3.10-3.15, 2 Cd 3.14

Which value of total magnetic moment does entry 3 give?
0.00 μB per formula unit

Which formula does entry 1 have?
ZrCd2

Repeat the third record exactly.
# Zr5Cd

A geometry-optimized Zr5Cd structure (GGA-PBEsol, Alexandria).

Energy of formation = -4.7 kJ/mol of atoms
VASP energy = -7.823 eV/atom
Total magnetic moment = 0.00 μB per formula unit
V = 129.1 Å³/cell

Cell lengths 4.3571, 4.4143, 7.0648 Å; angles 71.79, 90.00, 90.00 degrees
Last column: nearest neighbours and their distance in Å.
Element x y z (fractional)
Zr 0.5000 0.0000 0.0000  4 Cd 3.10, 8 Zr 3.12-3.13
Cd 0.0000 0.5000 0.0000  12 Zr 3.10-3.14
Zr 0.5000 0.3348 0.3304  10 Zr 3.10-3.17, 2 Cd 3.11
Zr 0.5000 0.6652 0.6696  10 Zr 3.10-3.17, 2 Cd 3.11
Zr 0.0000 0.8338 0.3325  10 Zr 3.10-3.15, 2 Cd 3.14
Zr 0.0000 0.1662 0.6675  10 Zr 3.10-3.15, 2 Cd 3.14